An optimized crystal structure of Tb5Dy2Ho, computed with PBE-GGA.

Structure (POSCAR):
```
Tb5Dy2Ho
1.0
6.3875 0.0061 1.5333
-3.2312 8.1718 -0.7457
3.1648 0.0140 10.4782
Tb Dy Ho
10 4 2
Direct
0.1152 0.9813 0.8403
0.8731 0.9860 0.6606
0.3715 0.7909 0.4475
0.4246 0.7912 0.0499
0.6405 0.2882 0.2519
0.3595 0.7118 0.7481
0.6285 0.2091 0.5525
0.5754 0.2088 0.9501
0.8848 0.0187 0.1597
0.1269 0.0140 0.3394
0.8012 0.6255 0.4250
0.8280 0.6283 0.0749
0.1988 0.3745 0.5750
0.1720 0.3717 0.9251
0.7930 0.5835 0.7500
0.2070 0.4165 0.2500
```

Calculated values
Magnetic moment in μB per cell: 0.00
Offset from the most stable computed form in eV/atom: 0.123
Formation energy from the elements in meV/atom: 137